Computed, not measured: a geometry-optimized Cs2CrSe2O6 structure at the PBE+U level of DFT.

Cell: 5.9594 5.9594 20.0407 Å, 90.00 90.00 120.00°
Space group R-3m (No. 166, hexagonal axes)
Asymmetric unit:
Cs (0.0000, 0.0000, 0.2145) (multiplicity 6)
Cr (0.0000, 0.0000, 0.0000) (multiplicity 3)
Se (0.0000, 0.0000, 0.4103) (multiplicity 6)
O (0.0155, 0.5077, 0.7277) (multiplicity 18)



Computed, not measured: a geometry-optimized CsCrSe2O8 structure at the PBE+U level of DFT.

Cell: 5.0807 5.0807 27.8314 Å, 90.00 90.00 120.00°
Space group R-3 (No. 148, hexagonal axes)
Asymmetric unit:
Cs (0.0000, 0.0000, 0.0000) (multiplicity 3)
Cr (0.0000, 0.0000, 0.5000) (multiplicity 3)
Se (0.0000, 0.0000, 0.2285) (multiplicity 6)
O (0.0000, 0.0000, 0.2877) (multiplicity 6)
O (0.0026, 0.6342, 0.8763) (multiplicity 18)



Computed, not measured: a geometry-optimized CsCr2SiO8 structure at the PBE+U level of DFT.

Cell: 8.650 5.325 8.633 Å, 90.00 95.21 90.00°
Space group C2/m (No. 12)
Asymmetric unit:
Cs (0.000, 0.000, 0.000) (multiplicity 2)
Cr (0.132, 0.500, 0.322) (multiplicity 4)
Si (0.000, 0.000, 0.500) (multiplicity 2)
O (0.026, 0.234, 0.355) (multiplicity 8)
O (0.176, 0.500, 0.142) (multiplicity 4)
O (0.203, 0.000, 0.554) (multiplicity 4)



Computed, not measured: a geometry-optimized CsCrSiO4 structure at the PBE+U level of DFT.

Cell: 5.131 5.654 7.849 Å, 90.00 93.09 90.00°
Space group P2_1/m (No. 11)
Asymmetric unit:
Cs (0.237, 0.250, 0.110) (multiplicity 2)
Cr (0.173, 0.750, 0.456) (multiplicity 2)
Si (0.337, 0.250, 0.639) (multiplicity 2)
O (0.119, 0.032, 0.650) (multiplicity 4)
O (0.401, 0.750, 0.234) (multiplicity 2)
O (0.470, 0.250, 0.452) (multiplicity 2)



Calculated total energy, -5.2872, -5.7308, -6.7297, -6.9225 eV per atom (same order as the records).